DFT (GGA+U) results for crystalline LiFe4B4O12 at its relaxed geometry.

POSCAR file:
```
LiFe4B4O12
1.0
9.046 0.000 0.000
0.000 5.316 0.019
0.000 5.260 10.219
O B Fe Li
24 8 8 2
Cartesian
0.427 4.114 1.725
8.520 3.050 4.252
8.918 8.932 8.368
2.057 9.182 9.339
0.526 5.680 9.361
8.440 2.289 0.583
5.009 7.538 6.036
4.015 5.644 4.559
4.070 4.185 7.053
1.956 6.673 6.607
4.976 1.555 1.944
6.989 6.552 4.229
8.619 6.744 6.834
4.037 4.908 0.927
2.515 4.109 3.440
6.394 4.166 6.430
5.032 8.274 9.668
4.186 6.308 8.569
6.531 6.739 8.549
4.860 3.678 3.459
0.128 6.302 3.259
2.653 1.536 1.321
0.606 4.919 5.692
7.090 4.043 1.498
5.204 3.546 6.497
3.842 0.916 1.388
8.314 3.486 1.260
0.732 6.116 6.370
3.755 4.464 3.837
0.820 9.703 9.005
5.291 7.094 8.946
8.226 7.073 3.896
5.346 3.478 1.434
8.277 3.491 6.318
5.231 7.103 3.991
0.652 4.499 3.754
0.770 0.861 1.208
8.395 7.129 8.863
3.701 6.108 6.543
3.815 9.733 9.101
2.257 3.466 1.400
6.789 6.096 6.509
```

Energy above the most stable polymorph in this dataset = 7.2 meV/atom
Total magnetization = 19.00 μB/f.u.
Symmetry = Pc, No. 7
Total energy = -0.26471 Ha/atom